No. 1
Material: La2SiTe
Method: DFT, GGA-PBE
State: optimized geometry

Computed properties:
Distance to the lowest polymorph of the same formula in meV per atom: 53
Energy relative to the elements, uncorrected in meV/atom: -1114.5
M_tot in μB/cell: 0.0
Space group: No. 123
E_tot in eV per atom: -5.719

Unit cell a=4.495 b=4.495 c=6.336 alpha=90.00 beta=90.00 gamma=90.00
Sites, in units of the cell vectors:
La 0.000 0.000 0.000
La 0.500 0.500 0.500
Si 0.000 0.000 0.500
Te 0.500 0.500 0.000

---

No. 2
Material: LaSiTe4
Method: DFT, GGA-PBE
State: optimized geometry

Computed properties:
Energy relative to the elements, uncorrected in meV/atom: 151.5
M_tot in μB/cell: 0.0
Space group: No. 216
E_tot in eV per atom: -3.668

Unit cell a=6.294 b=6.294 c=6.294 alpha=60.00 beta=60.00 gamma=60.00
Sites, in units of the cell vectors:
La 0.000 0.000 0.000
Si 0.750 0.750 0.750
Te 0.375 0.375 0.375
Te 0.375 0.375 0.875
Te 0.375 0.875 0.375
Te 0.875 0.375 0.375

---

No. 3
Material: La2SiTe
Method: DFT, GGA-PBE
State: optimized geometry

Computed properties:
Distance to the lowest polymorph of the same formula in meV per atom: 174
Energy relative to the elements, uncorrected in meV/atom: -993.2
M_tot in μB/cell: 0.0
Space group: No. 38
E_tot in eV per atom: -5.598

Unit cell a=4.837 b=6.346 c=6.346 alpha=38.47 beta=90.00 gamma=90.00
Sites, in units of the cell vectors:
La 0.000 0.000 0.000
La 0.500 0.254 0.254
Si 0.500 0.501 0.501
Te 0.000 0.731 0.731

---

No. 4
Material: La6SiTe5
Method: DFT, GGA-PBE
State: optimized geometry

Computed properties:
Energy relative to the elements, uncorrected in meV/atom: -1495.2
M_tot in μB/cell: 0.0
Space group: No. 12
E_tot in eV per atom: -5.720

Unit cell a=7.891 b=7.891 c=7.902 alpha=99.55 beta=99.55 gamma=119.92
Sites, in units of the cell vectors:
La 0.078 0.391 0.735
La 0.231 0.231 0.261
La 0.391 0.078 0.735
La 0.609 0.922 0.265
La 0.769 0.769 0.739
La 0.922 0.609 0.265
Si 0.000 0.000 0.500
Te 0.173 0.827 0.000
Te 0.335 0.665 0.500
Te 0.500 0.500 0.000
Te 0.665 0.335 0.500
Te 0.827 0.173 0.000